1.
# SCAN CaNiW2, single point on PBEsol structure
# * E above lowest polymorph: 347.6 meV per atom
# * energy relative to the elements: 3.36 eV/f.u.
# * energy: -40.464 eV per atom
# * theoretical density: 10.79 g/cm³
data_CaNiW2
_chemical_formula_sum 'Ca1 Ni1 W2'
_space_group_name_H-M_alt 'P 1'
_space_group_IT_number 1
_cell_length_a 3.1809
_cell_length_b 3.1809
_cell_length_c 7.0965
_cell_angle_alpha 90.00
_cell_angle_beta 90.00
_cell_angle_gamma 90.00
loop_
_space_group_symop_operation_xyz
'x,y,z'
loop_
_atom_site_label
_atom_site_type_symbol
_atom_site_fract_x
_atom_site_fract_y
_atom_site_fract_z
_atom_site_occupancy
Ca1 Ca 0.0000 0.0000 0.0000 1
Ni1 Ni 0.0000 0.0000 0.5000 1
W1 W 0.5000 0.5000 0.3320 1
W2 W 0.5000 0.5000 0.6680 1

---

2.
# SCAN LiMnAl2, single point on PBEsol structure
# * energy relative to the elements: -0.56 eV/f.u.
# * energy: -9.176 eV per atom
# * theoretical density: 3.38 g/cm³
data_LiMnAl2
_chemical_formula_sum 'Li1 Mn1 Al2'
_space_group_name_H-M_alt 'P 1'
_space_group_IT_number 1
_cell_length_a 2.7763
_cell_length_b 3.8550
_cell_length_c 5.3245
_cell_angle_alpha 90.00
_cell_angle_beta 90.00
_cell_angle_gamma 90.00
loop_
_space_group_symop_operation_xyz
'x,y,z'
loop_
_atom_site_label
_atom_site_type_symbol
_atom_site_fract_x
_atom_site_fract_y
_atom_site_fract_z
_atom_site_occupancy
Li1 Li 0.0000 0.0000 0.0000 1
Mn1 Mn 0.5000 0.5000 0.2637 1
Al1 Al 0.0000 0.0000 0.4689 1
Al2 Al 0.5000 0.5000 0.7601 1

---

3.
# SCAN NaYBe2, single point on PBEsol structure
# * energy relative to the elements: 3.41 eV/f.u.
# * energy: -9.339 eV per atom
# * theoretical density: 2.79 g/cm³
data_NaYBe2
_chemical_formula_sum 'Na2 Y2 Be4'
_space_group_name_H-M_alt 'P 1'
_space_group_IT_number 1
_cell_length_a 5.9710
_cell_length_b 5.9710
_cell_length_c 5.9710
_cell_angle_alpha 102.21
_cell_angle_beta 102.21
_cell_angle_gamma 125.25
loop_
_space_group_symop_operation_xyz
'x,y,z'
loop_
_atom_site_label
_atom_site_type_symbol
_atom_site_fract_x
_atom_site_fract_y
_atom_site_fract_z
_atom_site_occupancy
Na1 Na 0.0000 0.0000 0.0000 1
Na2 Na 0.7500 0.2500 0.5000 1
Y1 Y 0.2500 0.7500 0.5000 1
Y2 Y 0.5000 0.5000 0.0000 1
Be1 Be 0.1122 0.1250 0.4872 1
Be2 Be 0.3750 0.8878 0.0128 1
Be3 Be 0.6378 0.6250 0.5128 1
Be4 Be 0.8750 0.3622 0.9872 1

---

> Look up the energy of the third one.

-9.339 eV per atom

---

> Which of these has the lowest theoretical density?

NaYBe2